Below is a relaxed structure of YMoPb2, with properties calculated at the PBE level.

a = 9.6914 Å, b = 3.9628 Å, c = 5.4420 Å
α = 90.00°, β = 111.66°, γ = 90.00°
With the nearest neighbours (Å) after each atom.
Space group C2/m (No. 12)
Asymmetric unit:
1 Y 0.0000 0.0000 0.0000 x2  6 Pb 3.16-3.20, 4 Mo 3.37
2 Mo 0.0000 0.5000 0.5000 x2  6 Pb 2.92-3.18
3 Pb 0.2349 0.0000 0.7127 x4  3 Mo 2.92-3.18, 2 Pb 3.14, 3 Y 3.16-3.20

Summary:
ΔH_f (0 K) in eV/atom: 0.199
Relative energy among the computed polymorphs in meV/atom: 0
D(E_F) in states/eV/f.u.: 2.95
Total DFT energy (no corrections) in eV per atom: -5.98
Total magnetization in μB/cell: 0.00